[1]
A relaxed YInRu crystal, computed with GGA-PBEsol.

Output
The value obtained for the formation energy is -27.6 kJ/mol of atoms. Its space-group type is I4mm. The magnetization comes out at 0.0 μB/f.u. The density of states at the Fermi level is 0.3 states/eV per cell. The crystal system is tetragonal. The final energy comes out at -6.9449 eV per atom.

Lattice parameters (Å, degrees): 3.4047 3.4047 5.7186 107.32 107.32 90.00
Closest atoms and distances in Å follow each position.
Sites, in units of the cell vectors:
Y 0.3169 0.3169 0.6339  4 Ru 2.91, 5 In 3.05-3.22
Ru 0.6602 0.6602 0.3203  4 In 2.80, 4 Y 2.91
In 0.0229 0.0229 0.0458  4 Ru 2.80, 1 Y 3.05

[2]
A relaxed BaSbPb2 crystal, computed with GGA-PBEsol.

Output
Its space-group type is Immm. The magnetization comes out at 0.0 μB/f.u. The uncorrected formation energy is -0.402 eV per atom. The density of states at the Fermi level is 2.2 states/eV per cell. The crystal system is orthorhombic. The final energy comes out at -4.0781 eV per atom.

Lattice parameters (Å, degrees): 4.0961 5.5880 6.6164 114.98 108.03 90.00
Closest atoms and distances in Å follow each position.
Sites, in units of the cell vectors:
Ba 0.0000 0.5000 0.0000  4 Sb 3.46, 8 Pb 3.73-3.77
Pb 0.7805 0.7805 0.5611  2 Sb 3.21, 4 Pb 3.53
Pb 0.2195 0.2195 0.4389  2 Sb 3.21, 4 Pb 3.53
Sb 0.5000 0.0000 0.0000  4 Pb 3.21, 4 Ba 3.46

[3]
A relaxed YBeBBr2 crystal, computed with GGA-PBEsol.

Output
Its space-group type is P4/mmm. The magnetization comes out at 0.0 μB/f.u. The uncorrected formation energy is 0.679 eV per atom. The density of states at the Fermi level is 4.4 states/eV per cell. The crystal system is tetragonal. The final energy comes out at -3.6372 eV per atom.

Lattice parameters (Å, degrees): 4.4000 4.4000 5.5503 90.00 90.00 90.00
Closest atoms and distances in Å follow each position.
Sites, in units of the cell vectors:
Y 0.0000 0.0000 0.5000  2 Be 2.78
Be 0.0000 0.0000 0.0000  4 Br 2.20
B 0.5000 0.5000 0.5000  4 Y 3.11
Br 0.0000 0.5000 0.0000  2 Be 2.20
Br 0.5000 0.0000 0.0000  2 Be 2.20